1.
## BaSr2Y (meta-GGA SCAN)

Data for a PBEsol-optimized structure of BaSr2Y.

For the total energy, the calculation gives -111.13 eV/cell. The value obtained for the total magnetization is 1.05 Bohr magnetons per cell. For the formation enthalpy at 0 K, the calculation gives 0.204 eV/atom. Its symmetry is Pmm2 (25). Its crystal system is orthorhombic. Its energy above the most stable polymorph in this dataset is 31.5 meV per atom.

a b c (Å): 3.950 5.687 8.053
angles (deg): 90.00 90.00 90.00
Fractional coordinates of all 4 atoms:
Ba (0.500, 0.500, 0.733)
Sr (0.000, 0.000, 0.003)
Sr (0.500, 0.500, 0.265)
Y (0.000, 0.000, 0.499)



2.
## SrAs2 (meta-GGA SCAN)

Data for a PBEsol-optimized structure of SrAs2.

For the total energy, the calculation gives -130.06 eV/cell. The value obtained for the total magnetization is 0.02 Bohr magnetons per cell. For the formation enthalpy at 0 K, the calculation gives -0.791 eV/atom. Its symmetry is C2/m (12). Its crystal system is monoclinic.

a b c (Å): 4.106 5.949 7.171
angles (deg): 96.49 90.00 110.19
Fractional coordinates of all 6 atoms:
Sr (0.886, 0.771, 0.687)
Sr (0.114, 0.229, 0.313)
As (0.322, 0.643, 0.020)
As (0.599, 0.197, 0.649)
As (0.678, 0.357, 0.980)
As (0.401, 0.803, 0.351)



3.
## GdAsO4 (meta-GGA SCAN)

Data for a PBEsol-optimized structure of GdAsO4.

For the total energy, the calculation gives -238.62 eV/cell. The value obtained for the total magnetization is 13.95 Bohr magnetons per cell. Its symmetry is I4_1/amd (141). Its crystal system is tetragonal. Its energy above the most stable polymorph in this dataset is 2.5 meV per atom.

a b c (Å): 5.970 5.970 5.970
angles (deg): 106.50 106.50 115.60
Fractional coordinates of all 12 atoms:
Gd (0.000, 0.000, 0.000)
Gd (0.250, 0.750, 0.500)
As (0.750, 0.250, 0.500)
As (0.500, 0.500, 0.000)
O (0.756, 0.075, 0.681)
O (0.925, 0.607, 0.681)
O (0.925, 0.244, 0.319)
O (0.393, 0.075, 0.319)
O (0.857, 0.675, 0.181)
O (0.325, 0.506, 0.181)
O (0.325, 0.143, 0.819)
O (0.494, 0.675, 0.819)



4.
## CaY2Br (meta-GGA SCAN)

Data for a PBEsol-optimized structure of CaY2Br.

For the total energy, the calculation gives -85.75 eV/cell. The value obtained for the total magnetization is 0.00 Bohr magnetons per cell. Its symmetry is Pmmm (47). Its crystal system is orthorhombic. Its energy above the most stable polymorph in this dataset is 156.2 meV per atom.

a b c (Å): 3.627 5.486 6.113
angles (deg): 90.00 90.00 90.00
Fractional coordinates of all 4 atoms:
Y (0.000, 0.000, 0.000)
Y (0.500, 0.500, 0.000)
Ca (0.000, 0.500, 0.500)
Br (0.500, 0.000, 0.500)



5.
## ScSiOs2 (meta-GGA SCAN)

Data for a PBEsol-optimized structure of ScSiOs2.

For the total energy, the calculation gives -169.36 eV/cell. The value obtained for the total magnetization is 0.00 Bohr magnetons per cell. Its symmetry is Pm (6). Its crystal system is monoclinic.

a b c (Å): 2.894 4.310 4.918
angles (deg): 90.00 105.74 90.00
Fractional coordinates of all 4 atoms:
Os (0.145, 0.000, 0.011)
Os (0.771, 0.500, 0.209)
Sc (0.504, 0.000, 0.528)
Si (0.079, 0.500, 0.752)



6.
## KCaTa2 (meta-GGA SCAN)

Data for a PBEsol-optimized structure of KCaTa2.

For the total energy, the calculation gives -146.79 eV/cell. The value obtained for the total magnetization is 1.00 Bohr magnetons per cell. For the formation enthalpy at 0 K, the calculation gives 1.093 eV/atom. Its symmetry is C2/m (12). Its crystal system is monoclinic. Its energy above the most stable polymorph in this dataset is 456.6 meV per atom.

a b c (Å): 2.914 5.909 7.223
angles (deg): 91.26 90.00 104.28
Fractional coordinates of all 4 atoms:
Ca (0.000, 0.000, 0.500)
K (0.500, 0.000, 0.000)
Ta (0.742, 0.485, 0.649)
Ta (0.258, 0.515, 0.351)



7.
## YHf2ZrCu (meta-GGA SCAN)

Data for a PBEsol-optimized structure of YHf2ZrCu.

For the total energy, the calculation gives -197.09 eV/cell. The value obtained for the total magnetization is 0.00 Bohr magnetons per cell. For the formation enthalpy at 0 K, the calculation gives 0.399 eV/atom. Its symmetry is P4/mmm (123). Its crystal system is tetragonal.

a b c (Å): 4.894 4.894 4.959
angles (deg): 90.00 90.00 90.00
Fractional coordinates of all 5 atoms:
Y (0.500, 0.500, 0.500)
Hf (0.000, 0.500, 0.000)
Hf (0.500, 0.000, 0.000)
Cu (0.000, 0.000, 0.000)
Zr (0.000, 0.000, 0.500)



8.
## Nb2NiBr (meta-GGA SCAN)

Data for a PBEsol-optimized structure of Nb2NiBr.

For the total energy, the calculation gives -100.16 eV/cell. The value obtained for the total magnetization is 0.00 Bohr magnetons per cell. Its symmetry is Fm-3m (225). Its crystal system is cubic.

a b c (Å): 4.443 4.443 4.443
angles (deg): 60.00 60.00 60.00
Fractional coordinates of all 4 atoms:
Ni (0.000, 0.000, 0.000)
Nb (0.250, 0.250, 0.250)
Nb (0.750, 0.750, 0.750)
Br (0.500, 0.500, 0.500)



9.
## LiZrIr2 (meta-GGA SCAN)

Data for a PBEsol-optimized structure of LiZrIr2.

For the total energy, the calculation gives -178.02 eV/cell. The value obtained for the total magnetization is 0.00 Bohr magnetons per cell. For the formation enthalpy at 0 K, the calculation gives -0.683 eV/atom. Its symmetry is P4/mmm (123). Its crystal system is tetragonal. Its energy above the most stable polymorph in this dataset is 45.7 meV per atom.

a b c (Å): 3.634 4.047 4.047
angles (deg): 90.00 90.00 90.00
Fractional coordinates of all 4 atoms:
Ir (0.000, 0.000, 0.500)
Ir (0.000, 0.500, 0.000)
Zr (0.500, 0.000, 0.000)
Li (0.500, 0.500, 0.500)



10.
## NaSb3Cl (meta-GGA SCAN)

Data for a PBEsol-optimized structure of NaSb3Cl.

For the total energy, the calculation gives -121.29 eV/cell. The value obtained for the total magnetization is 0.00 Bohr magnetons per cell. Its symmetry is Pm-3m (221). Its crystal system is cubic.

a b c (Å): 5.361 5.361 5.361
angles (deg): 90.00 90.00 90.00
Fractional coordinates of all 5 atoms:
Sb (0.000, 0.500, 0.000)
Sb (0.000, 0.000, 0.500)
Sb (0.500, 0.000, 0.000)
Na (0.500, 0.500, 0.500)
Cl (0.000, 0.000, 0.000)



11.
## Li2ZnPt (meta-GGA SCAN)

Data for a PBEsol-optimized structure of Li2ZnPt.

For the total energy, the calculation gives -91.00 eV/cell. The value obtained for the total magnetization is 0.00 Bohr magnetons per cell. For the formation enthalpy at 0 K, the calculation gives -0.629 eV/atom. Its symmetry is I-4m2 (119). Its crystal system is tetragonal.

a b c (Å): 4.248 4.223 4.248
angles (deg): 59.80 90.00 120.20
Fractional coordinates of all 4 atoms:
Zn (0.250, 0.500, 0.250)
Pt (0.500, 0.000, 0.500)
Li (0.000, 0.000, 0.000)
Li (0.750, 0.500, 0.750)



12.
## ZnNi3 (meta-GGA SCAN)

Data for a PBEsol-optimized structure of ZnNi3.

For the total energy, the calculation gives -62.35 eV/cell. The value obtained for the total magnetization is 1.49 Bohr magnetons per cell. For the formation enthalpy at 0 K, the calculation gives -0.078 eV/atom. Its symmetry is Pmmm (47). Its crystal system is orthorhombic.

a b c (Å): 2.512 3.449 5.026
angles (deg): 90.00 90.00 90.00
Fractional coordinates of all 4 atoms:
Ni (0.000, 0.000, 0.742)
Ni (0.000, 0.000, 0.258)
Ni (0.500, 0.500, 0.500)
Zn (0.500, 0.500, 0.000)



13.
## NiSb2TeSe (meta-GGA SCAN)

Data for a PBEsol-optimized structure of NiSb2TeSe.

For the total energy, the calculation gives -146.12 eV/cell. The value obtained for the total magnetization is 0.00 Bohr magnetons per cell. Its symmetry is P4/mmm (123). Its crystal system is tetragonal.

a b c (Å): 4.927 4.927 4.910
angles (deg): 90.00 90.00 90.00
Fractional coordinates of all 5 atoms:
Sb (0.000, 0.500, 0.000)
Sb (0.500, 0.000, 0.000)
Te (0.000, 0.000, 0.500)
Se (0.500, 0.500, 0.500)
Ni (0.000, 0.000, 0.000)



14.
## KSr2P (meta-GGA SCAN)

Data for a PBEsol-optimized structure of KSr2P.

For the total energy, the calculation gives -62.83 eV/cell. The value obtained for the total magnetization is 0.00 Bohr magnetons per cell. For the formation enthalpy at 0 K, the calculation gives 0.112 eV/atom. Its symmetry is F-43m (216). Its crystal system is cubic.

a b c (Å): 5.781 5.781 5.781
angles (deg): 60.00 60.00 60.00
Fractional coordinates of all 4 atoms:
K (0.500, 0.500, 0.500)
P (0.250, 0.250, 0.250)
Sr (0.000, 0.000, 0.000)
Sr (0.750, 0.750, 0.750)



15.
## ScNbN2F (meta-GGA SCAN)

Data for a PBEsol-optimized structure of ScNbN2F.

For the total energy, the calculation gives -75.22 eV/cell. The value obtained for the total magnetization is 0.57 Bohr magnetons per cell. Its symmetry is P4/mmm (123). Its crystal system is tetragonal.

a b c (Å): 3.916 4.079 4.079
angles (deg): 90.00 90.00 90.00
Fractional coordinates of all 5 atoms:
Sc (0.500, 0.500, 0.500)
Nb (0.000, 0.000, 0.000)
N (0.000, 0.000, 0.500)
N (0.000, 0.500, 0.000)
F (0.500, 0.000, 0.000)



16.
## MgCuPt2 (meta-GGA SCAN)

Data for a PBEsol-optimized structure of MgCuPt2.

For the total energy, the calculation gives -162.94 eV/cell. The value obtained for the total magnetization is 0.00 Bohr magnetons per cell. For the formation enthalpy at 0 K, the calculation gives -0.594 eV/atom. Its symmetry is Cmmm (65). Its crystal system is orthorhombic.

a b c (Å): 2.843 4.523 4.523
angles (deg): 103.45 90.00 90.00
Fractional coordinates of all 4 atoms:
Mg (0.500, 0.500, 0.500)
Pt (0.000, 0.500, 0.000)
Pt (0.000, 0.000, 0.500)
Cu (0.500, 0.000, 0.000)



17.
## Co2ReMo (meta-GGA SCAN)

Data for a PBEsol-optimized structure of Co2ReMo.

For the total energy, the calculation gives -139.98 eV/cell. The value obtained for the total magnetization is 0.55 Bohr magnetons per cell. For the formation enthalpy at 0 K, the calculation gives 0.154 eV/atom. Its symmetry is Pmmm (47). Its crystal system is orthorhombic. Its energy above the most stable polymorph in this dataset is 65.5 meV per atom.

a b c (Å): 2.594 3.668 5.195
angles (deg): 90.00 90.00 90.00
Fractional coordinates of all 4 atoms:
Re (0.500, 0.500, 0.500)
Mo (0.500, 0.500, 0.000)
Co (0.000, 0.000, 0.744)
Co (0.000, 0.000, 0.256)



18.
## CuP3Br (meta-GGA SCAN)

Data for a PBEsol-optimized structure of CuP3Br.

For the total energy, the calculation gives -56.17 eV/cell. The value obtained for the total magnetization is 0.00 Bohr magnetons per cell. Its symmetry is Pm-3m (221). Its crystal system is cubic.

a b c (Å): 4.746 4.746 4.746
angles (deg): 90.00 90.00 90.00
Fractional coordinates of all 5 atoms:
P (0.000, 0.500, 0.000)
P (0.000, 0.000, 0.500)
P (0.500, 0.000, 0.000)
Cu (0.500, 0.500, 0.500)
Br (0.000, 0.000, 0.000)



19.
## RbCoSn3 (meta-GGA SCAN)

Data for a PBEsol-optimized structure of RbCoSn3.

For the total energy, the calculation gives -145.15 eV/cell. The value obtained for the total magnetization is 1.14 Bohr magnetons per cell. For the formation enthalpy at 0 K, the calculation gives 0.132 eV/atom. Its symmetry is Pm-3m (221). Its crystal system is cubic.

a b c (Å): 5.016 5.016 5.016
angles (deg): 90.00 90.00 90.00
Fractional coordinates of all 5 atoms:
Co (0.000, 0.000, 0.000)
Sn (0.000, 0.500, 0.000)
Sn (0.000, 0.000, 0.500)
Sn (0.500, 0.000, 0.000)
Rb (0.500, 0.500, 0.500)



20.
## K2AlHg (meta-GGA SCAN)

Data for a PBEsol-optimized structure of K2AlHg.

For the total energy, the calculation gives -92.90 eV/cell. The value obtained for the total magnetization is 0.00 Bohr magnetons per cell. For the formation enthalpy at 0 K, the calculation gives -0.082 eV/atom. Its symmetry is Imm2 (44). Its crystal system is orthorhombic. Its energy above the most stable polymorph in this dataset is 0.0 meV per atom.

a b c (Å): 4.376 5.977 6.481
angles (deg): 117.46 109.73 90.00
Fractional coordinates of all 4 atoms:
K (0.968, 0.968, 0.936)
K (0.777, 0.277, 0.554)
Hg (0.191, 0.691, 0.382)
Al (0.564, 0.564, 0.129)